--- i ---
LaAgRu (PBEsol, optimized geometry); space-group type = F-43m (216)
1.0
6.4585 0.0000 0.0000
0.0000 6.4585 0.0000
0.0000 0.0000 6.4585
La Ag Ru
4 4 4
Direct
0.0000 0.0000 0.0000
0.0000 0.5000 0.5000
0.5000 0.0000 0.5000
0.5000 0.5000 0.0000
0.0000 0.0000 0.5000
0.0000 0.5000 0.0000
0.5000 0.0000 0.0000
0.5000 0.5000 0.5000
0.2500 0.2500 0.7500
0.2500 0.7500 0.2500
0.7500 0.2500 0.2500
0.7500 0.7500 0.7500

***

--- ii ---
LaAgRu (PBEsol, optimized geometry); space-group type = P-6m2 (187)
1.0
4.5467 0.0000 0.0000
-2.2733 3.9375 0.0000
0.0000 0.0000 3.3465
La Ag Ru
1 1 1
Direct
0.0000 0.0000 0.0000
0.6667 0.3333 0.5000
0.3333 0.6667 0.0000

***

Structures ranked by computed energy, the most stable listed first: ii, i.

***

--- i ---
LaAgSb2 (PBEsol, optimized geometry); space-group type = P4/nmm (129)
1.0
4.3732 0.0000 0.0000
0.0000 4.3732 0.0000
0.0000 0.0000 10.6619
La Ag Sb
2 2 4
Direct
0.2500 0.2500 0.2415
0.7500 0.7500 0.7585
0.2500 0.7500 0.5000
0.7500 0.2500 0.5000
0.2500 0.2500 0.6704
0.2500 0.7500 0.0000
0.7500 0.2500 0.0000
0.7500 0.7500 0.3296

***

--- ii ---
LaAgSb2 (PBEsol, optimized geometry); space-group type = P4mm (99)
1.0
3.3855 0.0000 0.0000
0.0000 3.3855 0.0000
0.0000 0.0000 9.0614
La Ag Sb
1 1 2
Direct
0.0000 0.0000 0.0000
0.5000 0.5000 0.7565
0.0000 0.0000 0.5713
0.5000 0.5000 0.2577

***

Structures ranked by computed energy, the most stable listed first: i, ii.

***

--- i ---
LaAgSb2 (PBEsol, optimized geometry); space-group type = P2/m (10)
1.0
3.9969 0.0000 0.0000
0.0000 4.4130 0.0000
-0.0111 0.0000 6.3154
La Ag Sb
1 1 2
Direct
0.0000 0.0000 0.0000
0.5000 0.0000 0.5000
0.4986 0.5000 0.7598
0.5014 0.5000 0.2402

***

--- ii ---
LaAgSb2 (PBEsol, optimized geometry); space-group type = P4/mmm (123)
1.0
4.7595 0.0000 0.0000
0.0000 4.7595 0.0000
0.0000 0.0000 4.4032
La Ag Sb
1 1 2
Direct
0.0000 0.0000 0.0000
0.5000 0.5000 0.0000
0.0000 0.5000 0.5000
0.5000 0.0000 0.5000

***

Structures ranked by computed energy, the most stable listed first: ii, i.

***

--- i ---
LaSc2Ag (PBEsol, optimized geometry); space-group type = Immm (71)
1.0
3.4238 0.0000 0.0000
0.0000 5.3354 0.0000
0.0000 0.0000 10.7618
La Sc Ag
2 4 2
Direct
0.0000 0.0000 0.0000
0.5000 0.5000 0.5000
0.0000 0.5000 0.2201
0.0000 0.5000 0.7799
0.5000 0.0000 0.2799
0.5000 0.0000 0.7201
0.0000 0.0000 0.5000
0.5000 0.5000 0.0000

***

--- ii ---
LaSc2Ag (PBEsol, optimized geometry); space-group type = P4/mmm (123)
1.0
3.4562 0.0000 0.0000
0.0000 3.4562 0.0000
0.0000 0.0000 7.8935
La Sc Ag
1 2 1
Direct
0.0000 0.0000 0.0000
0.5000 0.5000 0.2965
0.5000 0.5000 0.7035
0.0000 0.0000 0.5000

***

--- iii ---
LaSc2Ag (PBEsol, optimized geometry); space-group type = P4mm (99)
1.0
3.4405 0.0000 0.0000
0.0000 3.4405 0.0000
0.0000 0.0000 8.2990
La Sc Ag
1 2 1
Direct
0.0000 0.0000 0.0000
0.0000 0.0000 0.5490
0.5000 0.5000 0.3037
0.5000 0.5000 0.7302

***

Structures ranked by computed energy, the most stable listed first: ii, iii, i.

***

--- i ---
LaSc2Ag2 (PBEsol, optimized geometry); space-group type = I4/mmm (139)
1.0
4.6378 0.0000 0.0000
0.0000 4.6378 0.0000
0.0000 0.0000 11.2623
La Sc Ag
2 4 4
Direct
0.0000 0.0000 0.0000
0.5000 0.5000 0.5000
0.0000 0.5000 0.2500
0.0000 0.5000 0.7500
0.5000 0.0000 0.2500
0.5000 0.0000 0.7500
0.0000 0.0000 0.3842
0.0000 0.0000 0.6158
0.5000 0.5000 0.1158
0.5000 0.5000 0.8842

***

--- ii ---
LaSc2Ag2 (PBEsol, optimized geometry); space-group type = P4/mbm (127)
1.0
8.1000 0.0000 0.0000
0.0000 8.1000 0.0000
0.0000 0.0000 3.4593
La Sc Ag
2 4 4
Direct
0.0000 0.0000 0.0000
0.5000 0.5000 0.0000
0.1614 0.3386 0.5000
0.3386 0.8386 0.5000
0.6614 0.1614 0.5000
0.8386 0.6614 0.5000
0.1252 0.6252 0.0000
0.3748 0.1252 0.0000
0.6252 0.8748 0.0000
0.8748 0.3748 0.0000

***

Structures ranked by computed energy, the most stable listed first: ii, i.

***

--- i ---
Sr2LaAg (PBEsol, optimized geometry); space-group type = P4mm (99)
1.0
3.8575 0.0000 0.0000
0.0000 3.8575 0.0000
0.0000 0.0000 9.9218
Sr La Ag
2 1 1
Direct
0.0000 0.0000 0.0000
0.5000 0.5000 0.3333
0.5000 0.5000 0.6981
0.0000 0.0000 0.5311

***

--- ii ---
Sr2LaAg (PBEsol, optimized geometry); space-group type = Fm-3m (225)
1.0
8.0810 0.0000 0.0000
0.0000 8.0810 0.0000
0.0000 0.0000 8.0810
Sr La Ag
8 4 4
Direct
0.2500 0.2500 0.2500
0.2500 0.2500 0.7500
0.2500 0.7500 0.2500
0.2500 0.7500 0.7500
0.7500 0.2500 0.2500
0.7500 0.2500 0.7500
0.7500 0.7500 0.2500
0.7500 0.7500 0.7500
0.0000 0.0000 0.0000
0.0000 0.5000 0.5000
0.5000 0.0000 0.5000
0.5000 0.5000 0.0000
0.0000 0.0000 0.5000
0.0000 0.5000 0.0000
0.5000 0.0000 0.0000
0.5000 0.5000 0.5000

***

Structures ranked by computed energy, the most stable listed first: i, ii.

***

--- i ---
SrLa2Ag (PBEsol, optimized geometry); space-group type = I-4m2 (119)
1.0
4.8419 0.0000 0.0000
0.0000 4.8419 0.0000
0.0000 0.0000 10.5632
Sr La Ag
2 4 2
Direct
0.0000 0.0000 0.0000
0.5000 0.5000 0.5000
0.0000 0.0000 0.5000
0.0000 0.5000 0.7500
0.5000 0.0000 0.2500
0.5000 0.5000 0.0000
0.0000 0.5000 0.2500
0.5000 0.0000 0.7500

***

--- ii ---
SrLa2Ag (PBEsol, optimized geometry); space-group type = C2/m (12)
1.0
6.5100 0.0000 0.0000
0.0000 11.9749 0.0000
-1.6418 0.0000 3.1977
Sr La Ag
2 4 2
Direct
0.0000 0.0000 0.0000
0.5000 0.5000 0.0000
0.2500 0.2500 0.5000
0.2500 0.7500 0.5000
0.7500 0.2500 0.5000
0.7500 0.7500 0.5000
0.0000 0.5000 0.0000
0.5000 0.0000 0.0000

***

--- iii ---
SrLa2Ag (PBEsol, optimized geometry); space-group type = P4mm (99)
1.0
3.7524 0.0000 0.0000
0.0000 3.7524 0.0000
0.0000 0.0000 9.3009
Sr La Ag
1 2 1
Direct
0.0000 0.0000 0.0000
0.0000 0.0000 0.4078
0.5000 0.5000 0.6676
0.5000 0.5000 0.2183

***

--- iv ---
SrLa2Ag (PBEsol, optimized geometry); space-group type = R3m (160)
1.0
3.8287 0.0000 0.0000
-1.9144 3.3158 0.0000
0.0000 0.0000 32.2636
Sr La Ag
3 6 3
Direct
0.0000 0.0000 0.0000
0.3333 0.6667 0.6667
0.6667 0.3333 0.3333
0.0000 0.0000 0.2283
0.0000 0.0000 0.4726
0.3333 0.6667 0.1392
0.3333 0.6667 0.8950
0.6667 0.3333 0.5617
0.6667 0.3333 0.8059
0.0000 0.0000 0.7376
0.3333 0.6667 0.4043
0.6667 0.3333 0.0709

***

Structures ranked by computed energy, the most stable listed first: iii, iv, ii, i.

***

--- i ---
LaTc2Ag (PBEsol, optimized geometry); space-group type = C2/m (12)
1.0
9.3403 0.0000 0.0000
0.0000 3.8262 0.0000
-1.8185 0.0000 4.8811
La Tc Ag
2 4 2
Direct
0.0000 0.0000 0.0000
0.5000 0.5000 0.0000
0.2297 0.0000 0.6098
0.2703 0.5000 0.3902
0.7297 0.5000 0.6098
0.7703 0.0000 0.3902
0.0000 0.5000 0.5000
0.5000 0.0000 0.5000

***

--- ii ---
LaTc2Ag (PBEsol, optimized geometry); space-group type = R3m (160)
1.0
4.2322 0.0000 0.0000
-2.1161 3.6652 0.0000
0.0000 0.0000 16.3653
La Tc Ag
3 6 3
Direct
0.0000 0.0000 0.0000
0.3333 0.6667 0.6667
0.6667 0.3333 0.3333
0.0000 0.0000 0.4747
0.0000 0.0000 0.7957
0.3333 0.6667 0.1414
0.3333 0.6667 0.4624
0.6667 0.3333 0.1291
0.6667 0.3333 0.8081
0.0000 0.0000 0.2161
0.3333 0.6667 0.8828
0.6667 0.3333 0.5495

***

--- iii ---
LaTc2Ag (PBEsol, optimized geometry); space-group type = Pmmm (47)
1.0
3.3080 0.0000 0.0000
0.0000 4.6313 0.0000
0.0000 0.0000 4.7715
La Tc Ag
1 2 1
Direct
0.0000 0.0000 0.0000
0.0000 0.5000 0.5000
0.5000 0.0000 0.5000
0.5000 0.5000 0.0000

***

Structures ranked by computed energy, the most stable listed first: ii, i, iii.